Record 1
The following is a DFT calculation (GGA-PBE) of a geometry-optimized CaMnCuSi structure.

Lattice parameters (Å, degrees): 3.718 3.369 11.739 90.00 90.00 90.00
Fractional coordinates of all 8 atoms:
Ca 0.500 0.500 0.538
Si 0.500 0.000 0.289
Cu 0.000 0.000 0.413
Ca 0.500 0.000 0.038
Mn 0.000 0.000 0.742
Si 0.500 0.500 0.789
Mn 0.000 0.500 0.242
Cu 0.000 0.500 0.913

Summary:
The value obtained for the total magnetization is 3.2 μB per formula unit. The calculation puts the density at 4.216 g/cm3. The calculation puts the uncorrected formation energy at 0.00 eV per atom. For the density of states at the Fermi level, the calculation gives 0.623 states/eV/atom.

---

Record 2
The following is a DFT calculation (GGA-PBE) of a geometry-optimized LiTbNd2 structure.

Lattice parameters (Å, degrees): 3.531 3.531 12.601 81.95 81.95 60.00
Fractional coordinates of all 4 atoms:
Nd 0.089 0.089 0.733
Nd 0.911 0.911 0.267
Li 0.000 0.000 0.000
Tb 0.500 0.500 0.500

Summary:
The value obtained for the total magnetization is 0.0 μB per formula unit. The calculation puts the density at 5.618 g/cm3. Its formation energy from the elements is 0.6 eV per formula unit. For the density of states at the Fermi level, the calculation gives 1.290 states/eV/atom.

---

Record 3
The following is a DFT calculation (GGA-PBE) of a geometry-optimized Sn3RhN structure.

Lattice parameters (Å, degrees): 4.606 4.606 4.606 90.00 90.00 90.00
Fractional coordinates of all 5 atoms:
Sn 0.000 0.500 0.000
Rh 0.500 0.500 0.500
Sn 0.500 0.000 0.000
N 0.000 0.000 0.000
Sn 0.000 0.000 0.500

Summary:
The value obtained for the total magnetization is 0.0 μB per formula unit. The calculation puts the density at 8.037 g/cm3. The calculation puts the uncorrected formation energy at 0.53 eV per atom. For the density of states at the Fermi level, the calculation gives 0.309 states/eV/atom.

---

Record 4
The following is a DFT calculation (GGA-PBE) of a geometry-optimized Ni6Pt2Rh structure.

Lattice parameters (Å, degrees): 6.460 4.530 4.530 65.24 76.71 76.71
Fractional coordinates of all 9 atoms:
Ni 0.688 0.216 0.696
Ni 0.513 0.242 0.242
Pt 0.913 0.677 0.677
Ni 0.312 0.784 0.304
Ni 0.312 0.304 0.784
Rh 0.000 0.000 0.000
Pt 0.087 0.323 0.323
Ni 0.688 0.696 0.216
Ni 0.487 0.758 0.758

Summary:
The value obtained for the total magnetization is 5.5 μB per formula unit. The calculation puts the density at 12.120 g/cm3. Its formation energy from the elements is 1.0 eV per formula unit. For the density of states at the Fermi level, the calculation gives 1.670 states/eV/atom.

---

Let's list excess energy over the best structure of this formula in the dataset in order: 14.8 9.5 0.0 0.2 kJ per mole of atoms.